(1)
Here is crystalline GdSbAs at its relaxed geometry from OQMD via LeMat-Bulk. Energies are from GGA-PBE.

Computed properties:
symmetry: No. 216
E above lowest polymorph: 0 meV per atom

a b c (Å): 5.0224 5.0224 5.0224
angles (deg): 60.00 60.00 60.00
Closest atoms and distances in Å follow each position.
Fractional coordinates of all 3 atoms:
As  0.2500  0.2500  0.2500  4 Gd 3.08
Gd  0.0000  0.0000  0.0000  4 As 3.08, 4 Sb 3.08
Sb  0.7500  0.7500  0.7500  4 Gd 3.08

(2)
Here is crystalline Pm2Ag2O5 at its relaxed geometry from OQMD via LeMat-Bulk. Energies are from GGA-PBE.

Computed properties:
symmetry: No. 123
E above lowest polymorph: 28 meV per atom

a b c (Å): 9.0475 4.0822 4.0822
angles (deg): 90.00 90.00 90.00
Closest atoms and distances in Å follow each position.
Fractional coordinates of all 9 atoms:
Ag  0.0000  0.0000  0.0000  8 O 2.44
Ag  0.5000  0.0000  0.0000  4 O 2.89
O  0.1477  0.5000  0.0000  2 Pm 2.23, 2 Ag 2.44
O  0.8523  0.5000  0.0000  2 Pm 2.23, 2 Ag 2.44
O  0.1477  0.0000  0.5000  2 Pm 2.23, 2 Ag 2.44
O  0.8523  0.0000  0.5000  2 Pm 2.23, 2 Ag 2.44
O  0.5000  0.5000  0.5000  2 Pm 2.28
Pm  0.2482  0.5000  0.5000  5 O 2.23-2.28
Pm  0.7518  0.5000  0.5000  5 O 2.23-2.28

(3)
Here is crystalline Dy2YIn3AgPd2 at its relaxed geometry from OQMD via LeMat-Bulk. Energies are from GGA-PBE.

Computed properties:
symmetry: No. 38
VASP energy: -4.814 eV/atom

a b c (Å): 3.7837 7.8415 7.8415
angles (deg): 120.03 90.00 90.00
Closest atoms and distances in Å follow each position.
Fractional coordinates of all 9 atoms:
Ag  0.5000  0.0003  0.0003  6 In 2.83
Dy  0.5000  0.4086  0.0000  4 Pd 3.03, 2 In 3.16, 1 Ag 3.20
Dy  0.5000  0.0000  0.4086  4 Pd 3.03, 2 In 3.16, 1 Ag 3.20
In  0.0000  0.7310  0.0000  2 Ag 2.83, 2 Pd 2.88-2.91, 2 Dy 3.16
In  0.0000  0.2695  0.2695  2 Ag 2.83, 2 Pd 2.90, 2 Y 3.16
In  0.0000  0.0000  0.7310  2 Ag 2.83, 2 Pd 2.88-2.91, 2 Dy 3.16
Pd  0.0000  0.6669  0.3313  3 In 2.88-2.91, 4 Dy 3.03, 2 Y 3.05
Pd  0.0000  0.3313  0.6669  3 In 2.88-2.91, 4 Dy 3.03, 2 Y 3.05
Y  0.5000  0.5923  0.5923  4 Pd 3.05, 6 In 3.16-3.39, 1 Ag 3.20